[1]
Density functional theory data (PBE with a Hubbard U) for Li4Mn2Co3Sn3O16 after structural relaxation.

Cell lengths 5.9563, 6.1075, 9.6523 Å; angles 88.54, 89.93, 60.83 degrees
Space group P1 (No. 1)
One atom of each set of equivalent atoms:
1 Li 0.0000 0.0000 0.0000 [1 per cell]
2 Li 0.0297 0.9681 0.4898 [1 per cell]
3 Li 0.3295 0.2789 0.3952 [1 per cell]
4 Li 0.6587 0.6114 0.9043 [1 per cell]
5 Mn 0.3190 0.2990 0.9952 [1 per cell]
6 Mn 0.6683 0.6056 0.4804 [1 per cell]
7 Co 0.1664 0.1200 0.7148 [1 per cell]
8 Co 0.3280 0.7945 0.2160 [1 per cell]
9 Co 0.8260 0.3020 0.2152 [1 per cell]
10 Sn 0.1739 0.6061 0.7129 [1 per cell]
11 Sn 0.6624 0.1055 0.7137 [1 per cell]
12 Sn 0.8239 0.7960 0.2143 [1 per cell]
13 O 0.9997 0.9772 0.3061 [1 per cell]
14 O 0.0157 0.9466 0.8129 [1 per cell]
15 O 0.0321 0.4389 0.8523 [1 per cell]
16 O 0.1472 0.1576 0.1116 [1 per cell]
17 O 0.1665 0.6617 0.1046 [1 per cell]
18 O 0.3205 0.2763 0.6022 [1 per cell]
19 O 0.3484 0.7646 0.5917 [1 per cell]
20 O 0.4616 0.9720 0.8307 [1 per cell]
21 O 0.4936 0.4129 0.8472 [1 per cell]
22 O 0.5046 0.9005 0.3494 [1 per cell]
23 O 0.5426 0.4525 0.3536 [1 per cell]
24 O 0.6512 0.6194 0.1145 [1 per cell]
25 O 0.6539 0.1333 0.0996 [1 per cell]
26 O 0.8374 0.7880 0.5892 [1 per cell]
27 O 0.8519 0.2738 0.6018 [1 per cell]
28 O 0.9578 0.4874 0.3550 [1 per cell]

[2]
Density functional theory data (PBE with a Hubbard U) for Li4Mn3Co2Te3O16 after structural relaxation.

Cell lengths 6.0867, 6.1632, 9.8383 Å; angles 90.51, 91.68, 117.74 degrees
Space group P1 (No. 1)
One atom of each set of equivalent atoms:
1 Li 0.0000 0.0000 0.0000 [1 per cell]
2 Li 0.0645 0.0295 0.5011 [1 per cell]
3 Li 0.4311 0.6925 0.9065 [1 per cell]
4 Li 0.7243 0.3512 0.3752 [1 per cell]
5 Mn 0.2143 0.3400 0.2201 [1 per cell]
6 Mn 0.7057 0.8334 0.2207 [1 per cell]
7 Mn 0.9319 0.1896 0.7286 [1 per cell]
8 Co 0.4049 0.6636 0.4876 [1 per cell]
9 Co 0.7448 0.3290 0.0053 [1 per cell]
10 Te 0.2130 0.8345 0.2178 [1 per cell]
11 Te 0.4363 0.1820 0.7278 [1 per cell]
12 Te 0.9263 0.6722 0.7039 [1 per cell]
13 O 0.0326 0.9690 0.3224 [1 per cell]
14 O 0.0746 0.5081 0.8253 [1 per cell]
15 O 0.0917 0.5330 0.3282 [1 per cell]
16 O 0.1185 0.0035 0.8275 [1 per cell]
17 O 0.2047 0.8172 0.5863 [1 per cell]
18 O 0.2421 0.3234 0.6167 [1 per cell]
19 O 0.3369 0.1397 0.1155 [1 per cell]
20 O 0.3891 0.7024 0.1065 [1 per cell]
21 O 0.5206 0.9678 0.3353 [1 per cell]
22 O 0.5330 0.5352 0.3276 [1 per cell]
23 O 0.5814 0.4594 0.8665 [1 per cell]
24 O 0.6751 0.0631 0.8674 [1 per cell]
25 O 0.7677 0.8779 0.6117 [1 per cell]
26 O 0.7769 0.3779 0.5854 [1 per cell]
27 O 0.8858 0.1620 0.1257 [1 per cell]
28 O 0.8914 0.6858 0.1073 [1 per cell]

[3]
Density functional theory data (PBE with a Hubbard U) for Li4Mn3Co3Te2O16 after structural relaxation.

Cell lengths 5.9022, 5.9169, 9.6939 Å; angles 90.87, 90.09, 119.46 degrees
Space group P1 (No. 1)
One atom of each set of equivalent atoms:
1 Li 0.0000 0.0000 0.0000 [1 per cell]
2 Li 0.9997 0.0009 0.4965 [1 per cell]
3 Li 0.3243 0.6594 0.9174 [1 per cell]
4 Li 0.6612 0.3292 0.4218 [1 per cell]
5 Mn 0.1722 0.3446 0.2263 [1 per cell]
6 Mn 0.3405 0.1708 0.7263 [1 per cell]
7 Mn 0.8280 0.1726 0.7256 [1 per cell]
8 Co 0.1794 0.8337 0.2275 [1 per cell]
9 Co 0.6539 0.8362 0.2212 [1 per cell]
10 Co 0.8240 0.6597 0.7232 [1 per cell]
11 Te 0.3330 0.6696 0.4973 [1 per cell]
12 Te 0.6672 0.3373 0.9952 [1 per cell]
13 O 0.0057 0.0142 0.8116 [1 per cell]
14 O 0.0122 0.0072 0.3068 [1 per cell]
15 O 0.0327 0.5087 0.3584 [1 per cell]
16 O 0.1658 0.3357 0.6020 [1 per cell]
17 O 0.1677 0.8348 0.5989 [1 per cell]
18 O 0.3108 0.6568 0.1204 [1 per cell]
19 O 0.3382 0.1717 0.1008 [1 per cell]
20 O 0.4704 0.5095 0.3586 [1 per cell]
21 O 0.4734 0.9629 0.3659 [1 per cell]
22 O 0.5002 0.4656 0.8589 [1 per cell]
23 O 0.5159 0.0334 0.8515 [1 per cell]
24 O 0.6544 0.3154 0.6235 [1 per cell]
25 O 0.6652 0.8362 0.5968 [1 per cell]
26 O 0.8279 0.6630 0.0951 [1 per cell]
27 O 0.8314 0.1715 0.1000 [1 per cell]
28 O 0.9584 0.4681 0.8579 [1 per cell]

[4]
Density functional theory data (PBE with a Hubbard U) for Li4Mn2Co3Te3O16 after structural relaxation.

Cell lengths 6.0045, 6.2094, 9.9818 Å; angles 86.81, 89.43, 61.98 degrees
Space group P1 (No. 1)
One atom of each set of equivalent atoms:
1 Li 0.0000 0.0000 0.0000 [1 per cell]
2 Li 0.0340 0.9493 0.5158 [1 per cell]
3 Li 0.3513 0.3019 0.4060 [1 per cell]
4 Li 0.7226 0.5891 0.8727 [1 per cell]
5 Mn 0.4167 0.2531 0.9775 [1 per cell]
6 Mn 0.7168 0.6501 0.5186 [1 per cell]
7 Co 0.2186 0.6071 0.7228 [1 per cell]
8 Co 0.7207 0.1038 0.7233 [1 per cell]
9 Co 0.8486 0.8347 0.2237 [1 per cell]
10 Te 0.2255 0.1053 0.7218 [1 per cell]
11 Te 0.3536 0.8272 0.2202 [1 per cell]
12 Te 0.8499 0.3482 0.2283 [1 per cell]
13 O 0.0489 0.9503 0.8218 [1 per cell]
14 O 0.0591 0.9660 0.3340 [1 per cell]
15 O 0.1069 0.3793 0.8452 [1 per cell]
16 O 0.1686 0.7046 0.1212 [1 per cell]
17 O 0.2289 0.1151 0.0938 [1 per cell]
18 O 0.3568 0.8163 0.6143 [1 per cell]
19 O 0.3930 0.2615 0.6151 [1 per cell]
20 O 0.5261 0.5053 0.3373 [1 per cell]
21 O 0.5332 0.9461 0.3298 [1 per cell]
22 O 0.5415 0.9577 0.8314 [1 per cell]
23 O 0.5565 0.3859 0.8391 [1 per cell]
24 O 0.6597 0.6672 0.1086 [1 per cell]
25 O 0.6963 0.1433 0.1020 [1 per cell]
26 O 0.8802 0.8087 0.6257 [1 per cell]
27 O 0.9023 0.2589 0.6165 [1 per cell]
28 O 0.9837 0.5109 0.3464 [1 per cell]

[5]
Density functional theory data (PBE with a Hubbard U) for Li4Ti3Mn3Co2O16 after structural relaxation.

Cell lengths 5.8658, 5.8720, 9.7342 Å; angles 89.74, 89.60, 60.37 degrees
Space group P1 (No. 1)
One atom of each set of equivalent atoms:
1 Li 0.0000 0.0000 0.0000 [1 per cell]
2 Li 0.0069 0.9896 0.5006 [1 per cell]
3 Li 0.3261 0.3163 0.8924 [1 per cell]
4 Li 0.6604 0.6576 0.3946 [1 per cell]
5 Ti 0.1343 0.6603 0.2105 [1 per cell]
6 Ti 0.6492 0.1878 0.2264 [1 per cell]
7 Ti 0.8283 0.8176 0.7175 [1 per cell]
8 Mn 0.1739 0.1506 0.2177 [1 per cell]
9 Mn 0.3349 0.8186 0.7177 [1 per cell]
10 Mn 0.8286 0.3245 0.7172 [1 per cell]
11 Co 0.3315 0.3222 0.4989 [1 per cell]
12 Co 0.6579 0.6536 0.9913 [1 per cell]
13 O 0.9997 0.9909 0.3157 [1 per cell]
14 O 0.0004 0.9917 0.8148 [1 per cell]
15 O 0.0324 0.4673 0.3334 [1 per cell]
16 O 0.1581 0.1466 0.6115 [1 per cell]
17 O 0.1582 0.6722 0.6093 [1 per cell]
18 O 0.3145 0.8324 0.1092 [1 per cell]
19 O 0.3325 0.3204 0.1088 [1 per cell]
20 O 0.4795 0.0221 0.3329 [1 per cell]
21 O 0.4817 0.4754 0.3351 [1 per cell]
22 O 0.5114 0.9521 0.8321 [1 per cell]
23 O 0.5135 0.5046 0.8313 [1 per cell]
24 O 0.6616 0.6510 0.6099 [1 per cell]
25 O 0.6841 0.1464 0.6085 [1 per cell]
26 O 0.8401 0.8264 0.1030 [1 per cell]
27 O 0.8455 0.3080 0.1099 [1 per cell]
28 O 0.9610 0.5023 0.8321 [1 per cell]

[6]
Density functional theory data (PBE with a Hubbard U) for Li4Ti2Mn3Co3O16 after structural relaxation.

Cell lengths 5.7806, 5.8062, 9.4784 Å; angles 90.52, 90.94, 119.09 degrees
Space group P1 (No. 1)
One atom of each set of equivalent atoms:
1 Li 0.0000 0.0000 0.0000 [1 per cell]
2 Li 0.0010 0.9976 0.5018 [1 per cell]
3 Li 0.3228 0.6531 0.4046 [1 per cell]
4 Li 0.6631 0.3238 0.9042 [1 per cell]
5 Ti 0.3337 0.6516 0.0011 [1 per cell]
6 Ti 0.6598 0.3206 0.5010 [1 per cell]
7 Mn 0.1728 0.8235 0.7239 [1 per cell]
8 Mn 0.3417 0.1622 0.2229 [1 per cell]
9 Mn 0.8294 0.6555 0.2199 [1 per cell]
10 Co 0.1649 0.3313 0.7211 [1 per cell]
11 Co 0.6602 0.8175 0.7202 [1 per cell]
12 Co 0.8314 0.1656 0.2213 [1 per cell]
13 O 0.0032 0.0012 0.8107 [1 per cell]
14 O 0.0065 0.9965 0.3131 [1 per cell]
15 O 0.0341 0.5394 0.8512 [1 per cell]
16 O 0.1623 0.3268 0.1094 [1 per cell]
17 O 0.1950 0.8520 0.0953 [1 per cell]
18 O 0.3281 0.6503 0.6203 [1 per cell]
19 O 0.3373 0.1332 0.6011 [1 per cell]
20 O 0.4575 0.4908 0.8532 [1 per cell]
21 O 0.4875 0.9541 0.8391 [1 per cell]
22 O 0.4895 0.4478 0.3565 [1 per cell]
23 O 0.5248 0.0285 0.3400 [1 per cell]
24 O 0.6596 0.3231 0.1173 [1 per cell]
25 O 0.6720 0.8320 0.1007 [1 per cell]
26 O 0.8329 0.6651 0.6053 [1 per cell]
27 O 0.8507 0.1792 0.5996 [1 per cell]
28 O 0.9551 0.4701 0.3452 [1 per cell]

These records have uncorrected energy values of -6.095; -5.891; -6.010; -5.835; -7.137; -6.815 eV/atom, in the order they appear.